Density functional theory data (PBE-GGA) for an optimized crystal structure of K8Rb2NaHg.

Space group: P-1
Formation energy from the elements (kJ/mol of formula units): -27
Total magnetic moment (μB/atom): 0.00

abc: 8.319 9.399 11.331
angles: 101.98 104.02 106.92
Sites, in units of the cell vectors:
K 0.049 0.208 0.214
K 0.065 0.684 0.213
K 0.387 0.397 0.630
K 0.402 0.865 0.622
K 0.598 0.135 0.378
K 0.613 0.603 0.370
K 0.935 0.316 0.787
K 0.951 0.792 0.786
Rb 0.480 0.241 0.988
Rb 0.520 0.759 0.012
Na 0.000 0.000 0.500
Hg 0.000 0.500 0.500